Entry 1:
TcP2Au after structural relaxation, computed with PBE.

Values from the calculation:
- Energy relative to the elements: 0.1436 eV/atom
- Total DFT energy (no corrections): -23.9 eV for the cell shown
- SG: Pmm2 (25)

Cell: 3.2477 3.7134 5.0906 Å, 90.00 90.00 90.00°
Last column: nearest neighbours and their distance in Å.
Fractional positions:
Au 0.5000 0.5000 0.8045  6 P 2.51-2.58
P 0.0000 0.0000 0.9321  2 Tc 2.45-2.64, 4 Au 2.55
P 0.5000 0.5000 0.3119  2 Au 2.51-2.58, 4 Tc 2.57
Tc 0.0000 0.0000 0.4516  6 P 2.45-2.64

Entry 2:
NaSr2In after structural relaxation, computed with PBE.

Values from the calculation:
- Energy relative to the elements: -0.0979 eV/atom
- Total DFT energy (no corrections): -7.8 eV for the cell shown
- SG: R3m (160)

Cell: 4.2319 4.2319 11.4273 Å, 79.33 79.33 60.00°
Last column: nearest neighbours and their distance in Å.
Fractional positions:
Na 0.5003 0.5003 0.4991  6 Sr 4.00-4.03, 6 Na 4.23
Sr 0.0715 0.0715 0.7856  3 In 3.42
Sr 0.2617 0.2617 0.2149  3 In 3.42
In 0.6665 0.6665 0.0005  6 Sr 3.42

Entry 3:
LiMoH2 after structural relaxation, computed with PBE.

Values from the calculation:
- Total DFT energy (no corrections): -39.0 eV for the cell shown
- SG: I-42d (122)

Cell: 4.7102 4.7102 4.5333 Å, 58.70 58.70 90.00°
Last column: nearest neighbours and their distance in Å.
Fractional positions:
H 0.6174 0.1250 0.2500  2 Li 1.81, 2 Mo 1.86
H 0.1326 0.6250 0.2500  2 Li 1.81, 2 Mo 1.86
H 0.3750 0.3826 0.7500  2 Li 1.81, 2 Mo 1.86
H 0.8750 0.8674 0.7500  2 Li 1.81, 2 Mo 1.86
Mo 0.0000 0.0000 0.0000  4 H 1.86
Mo 0.7500 0.2500 0.5000  4 H 1.86
Li 0.5000 0.5000 0.0000  4 H 1.81
Li 0.2500 0.7500 0.5000  4 H 1.81

Entry 4:
TbErTm2Sb4 after structural relaxation, computed with PBE.

Values from the calculation:
- Energy relative to the elements, uncorrected: -1.095 eV per atom
- Total DFT energy (no corrections): -43.4 eV for the cell shown
- SG: I4/mmm (139)

Cell: 6.1578 6.1578 7.5466 Å, 114.08 114.08 90.00°
Last column: nearest neighbours and their distance in Å.
Fractional positions:
Tb 0.9373 0.9373 0.0000  6 Sb 3.08-3.10
Er 0.4372 0.4371 0.0000  6 Sb 3.07-3.08
Tm 0.1871 0.6871 0.5000  6 Sb 3.08
Tm 0.6871 0.1871 0.5000  6 Sb 3.08
Sb 0.9372 0.4373 0.0000  2 Er 3.08, 2 Tb 3.08, 2 Tm 3.08
Sb 0.4373 0.9372 0.0000  2 Er 3.08, 2 Tb 3.08, 2 Tm 3.08
Sb 0.1884 0.1884 0.5026  1 Er 3.07, 4 Tm 3.08, 1 Tb 3.10
Sb 0.6858 0.6858 0.4974  1 Er 3.07, 4 Tm 3.08, 1 Tb 3.10

Entry 5:
AcYHg after structural relaxation, computed with PBE.

Values from the calculation:
- Energy relative to the elements: -0.2936 eV/atom
- Total DFT energy (no corrections): -11.8 eV for the cell shown
- SG: I4mm (107)

Cell: 3.8564 3.8564 7.1371 Å, 105.67 105.67 90.00°
Last column: nearest neighbours and their distance in Å.
Fractional positions:
Y 0.3060 0.3060 0.6120  4 Hg 3.16
Ac 0.0089 0.0089 0.0178  4 Hg 3.58, 5 Y 3.82-3.92, 4 Ac 3.86
Hg 0.6851 0.6851 0.3701  4 Y 3.16

Entry 6:
Be2SbPt after structural relaxation, computed with PBE.

Values from the calculation:
- Energy relative to the elements, uncorrected: -0.041 eV per atom
- Total DFT energy (no corrections): -17.8 eV for the cell shown
- SG: Pmmm (47)

Cell: 3.0697 3.0190 6.6055 Å, 90.00 90.00 90.00°
Last column: nearest neighbours and their distance in Å.
Fractional positions:
Sb 0.5000 0.5000 0.7500  4 Sb 3.02-3.07, 8 Be 3.07, 2 Pt 3.30
Pt 0.5000 0.5000 0.2500  8 Be 2.43
Be 0.0000 0.0000 0.0810  1 Be 2.23, 4 Pt 2.43
Be 0.0000 0.0000 0.4190  1 Be 2.23, 4 Pt 2.43

Entry 7:
La2TiCu after structural relaxation, computed with PBE.

Values from the calculation:
- Energy relative to the elements: 0.6197 eV/atom
- Total DFT energy (no corrections): -38.7 eV for the cell shown
- SG: I-42d (122)

Cell: 4.4438 4.4438 10.7801 Å, 78.11 78.11 90.00°
Last column: nearest neighbours and their distance in Å.
Fractional positions:
Ti 0.5000 0.5000 0.0000  4 La 3.03, 4 Cu 3.14
Ti 0.2500 0.7500 0.5000  4 La 3.03, 4 Cu 3.14
Cu 0.0000 0.0000 0.0000  4 La 3.00, 4 Ti 3.14
Cu 0.7500 0.2500 0.5000  4 La 3.00, 4 Ti 3.14
La 0.6340 0.1250 0.2500  2 Cu 3.00, 2 Ti 3.03, 4 La 3.09-3.20
La 0.1160 0.6250 0.2500  2 Cu 3.00, 2 Ti 3.03, 4 La 3.09-3.20
La 0.3750 0.3660 0.7500  2 Cu 3.00, 2 Ti 3.03, 4 La 3.09-3.20
La 0.8750 0.8840 0.7500  2 Cu 3.00, 2 Ti 3.03, 4 La 3.09-3.20

Entry 8:
NaSrSnSbO6 after structural relaxation, computed with PBE.

Values from the calculation:
- Energy relative to the elements, uncorrected: -1.838 eV per atom
- Total DFT energy (no corrections): -59.3 eV for the cell shown
- SG: F-43m (216)

Cell: 5.7138 5.7138 5.7138 Å, 60.00 60.00 60.00°
Last column: nearest neighbours and their distance in Å.
Fractional positions:
Na 0.2500 0.2500 0.2500  12 O 2.86
Sr 0.7500 0.7500 0.7500  12 O 2.86
Sn 0.5000 0.5000 0.5000  6 O 2.05
Sb 0.0000 0.0000 0.0000  6 O 1.99
O 0.2458 0.7542 0.2458  1 Sb 1.99, 1 Sn 2.05
O 0.7542 0.2458 0.7542  1 Sb 1.99, 1 Sn 2.05
O 0.2458 0.7542 0.7542  1 Sb 1.99, 1 Sn 2.05
O 0.7542 0.2458 0.2458  1 Sb 1.99, 1 Sn 2.05
O 0.2458 0.2458 0.7542  1 Sb 1.99, 1 Sn 2.05
O 0.7542 0.7542 0.2458  1 Sb 1.99, 1 Sn 2.05

Entry 9:
VCo2SnC after structural relaxation, computed with PBE.

Values from the calculation:
- Energy relative to the elements: -0.0679 eV/atom
- Total DFT energy (no corrections): -36.9 eV for the cell shown
- SG: P4/mmm (123)

Cell: 3.9010 3.9010 3.9969 Å, 90.00 90.00 90.00°
Last column: nearest neighbours and their distance in Å.
Fractional positions:
C 0.0000 0.0000 0.0000  4 Co 1.95, 2 V 2.00
Co 0.0000 0.5000 0.0000  2 C 1.95
Co 0.5000 0.0000 0.0000  2 C 1.95
Sn 0.5000 0.5000 0.5000  4 V 2.76, 8 Co 2.79
V 0.0000 0.0000 0.5000  2 C 2.00

Entry 10:
TbHfTcPd after structural relaxation, computed with PBE.

Values from the calculation:
- Energy relative to the elements: -0.4630 eV/atom
- Total DFT energy (no corrections): -32.0 eV for the cell shown
- SG: F-43m (216)

Cell: 4.7675 4.7675 4.7675 Å, 60.00 60.00 60.00°
Last column: nearest neighbours and their distance in Å.
Fractional positions:
Tb 0.7500 0.7500 0.7500  4 Pd 2.92, 4 Tc 2.92
Hf 0.2500 0.2500 0.2500  4 Tc 2.92, 4 Pd 2.92
Tc 0.5000 0.5000 0.5000  4 Tb 2.92, 4 Hf 2.92
Pd 0.0000 0.0000 0.0000  4 Tb 2.92, 4 Hf 2.92

Entry 11:
CaZr2SnRh after structural relaxation, computed with PBE.

Values from the calculation:
- Energy relative to the elements: 1.0125 eV/atom
- Total DFT energy (no corrections): -25.4 eV for the cell shown
- SG: P4/mmm (123)

Cell: 5.3049 5.4862 5.3049 Å, 90.00 90.00 90.00°
Last column: nearest neighbours and their distance in Å.
Fractional positions:
Ca 0.0000 0.5000 0.0000  2 Sn 2.74
Rh 0.5000 0.5000 0.5000  4 Ca 3.75, 8 Zr 3.82
Sn 0.0000 0.0000 0.0000  4 Zr 2.65, 2 Ca 2.74
Zr 0.0000 0.0000 0.5000  2 Sn 2.65
Zr 0.5000 0.0000 0.0000  2 Sn 2.65

Entry 12:
AcPr12Tl3 after structural relaxation, computed with PBE.

Values from the calculation:
- Energy relative to the elements: -0.1400 eV/atom
- Total DFT energy (no corrections): -70.8 eV for the cell shown
- SG: P4/mmm (123)

Cell: 5.0718 5.0718 20.7521 Å, 90.00 90.00 90.00°
Last column: nearest neighbours and their distance in Å.
Fractional positions:
Ac 0.0000 0.0000 0.0000  12 Pr 3.59-3.79
Pr 0.5000 0.5000 0.0000  4 Ac 3.59, 8 Pr 3.79
Pr 0.5000 0.5000 0.2589  8 Pr 3.56-3.60, 4 Tl 3.59
Pr 0.5000 0.5000 0.5000  8 Pr 3.57, 4 Tl 3.59
Pr 0.5000 0.5000 0.7411  8 Pr 3.56-3.60, 4 Tl 3.59
Pr 0.5000 0.0000 0.1356  8 Pr 3.59-3.79, 2 Tl 3.59, 2 Ac 3.79
Pr 0.5000 0.0000 0.3790  8 Pr 3.56-3.59, 4 Tl 3.56-3.57
Pr 0.5000 0.0000 0.6210  8 Pr 3.56-3.59, 4 Tl 3.56-3.57
Pr 0.5000 0.0000 0.8644  8 Pr 3.59-3.79, 2 Tl 3.59, 2 Ac 3.79
Pr 0.0000 0.5000 0.1356  8 Pr 3.59-3.79, 2 Tl 3.59, 2 Ac 3.79
Pr 0.0000 0.5000 0.3790  8 Pr 3.56-3.59, 4 Tl 3.56-3.57
Pr 0.0000 0.5000 0.6210  8 Pr 3.56-3.59, 4 Tl 3.56-3.57
Pr 0.0000 0.5000 0.8644  8 Pr 3.59-3.79, 2 Tl 3.59, 2 Ac 3.79
Tl 0.0000 0.0000 0.2583  12 Pr 3.56-3.59
Tl 0.0000 0.0000 0.5000  12 Pr 3.57-3.59
Tl 0.0000 0.0000 0.7417  12 Pr 3.56-3.59

> What is the formula in the third record?

LiMoH2

> What is the total DFT energy (no corrections) in the eleventh record?

-25.4 eV for the cell shown